HfMg3Bi: optimized geometry, GGA-PBE.

Geometry as CIF:
```
data_HfMg3Bi
_space_group_name_H-M_alt 'P m -3 m'
_space_group_IT_number 221
_space_group_name_Hall '-P 4 2 3'
_cell_length_a 5.3675
_cell_length_b 5.3675
_cell_length_c 5.3675
_cell_angle_alpha 90.00
_cell_angle_beta 90.00
_cell_angle_gamma 90.00
loop_
_atom_site_label
_atom_site_type_symbol
_atom_site_fract_x
_atom_site_fract_y
_atom_site_fract_z
Hf1 Hf 0.0000 0.0000 0.0000
Mg1 Mg 0.0000 0.5000 0.5000
Bi1 Bi 0.5000 0.5000 0.5000
```

Values from the calculation:
The value obtained for the total magnetization is 0.0 μB/cell. For the energy of formation, the calculation gives 0.93 eV/atom. The total energy is -0.1026 hartree per atom.

***

BaPmHo: optimized geometry, GGA-PBE.

Geometry as CIF:
```
data_BaPmHo
_space_group_name_H-M_alt 'I 4 m m'
_space_group_IT_number 107
_space_group_name_Hall 'I 4 -2'
_cell_length_a 3.8010
_cell_length_b 3.8010
_cell_length_c 16.5204
_cell_angle_alpha 90.00
_cell_angle_beta 90.00
_cell_angle_gamma 90.00
loop_
_atom_site_label
_atom_site_type_symbol
_atom_site_fract_x
_atom_site_fract_y
_atom_site_fract_z
Ba1 Ba 0.0000 0.0000 0.0000
Pm1 Pm 0.0000 0.0000 0.3170
Ho1 Ho 0.0000 0.0000 0.6806
```

Values from the calculation:
The value obtained for the total magnetization is 0.0 μB/cell. For the energy of formation, the calculation gives 0.17 eV/atom. The total energy is -0.1316 hartree per atom.

***

RbHAu: optimized geometry, GGA-PBE.

Geometry as CIF:
```
data_RbHAu
_space_group_name_H-M_alt 'I 4 m m'
_space_group_IT_number 107
_space_group_name_Hall 'I 4 -2'
_cell_length_a 4.8050
_cell_length_b 4.8050
_cell_length_c 8.1887
_cell_angle_alpha 90.00
_cell_angle_beta 90.00
_cell_angle_gamma 90.00
loop_
_atom_site_label
_atom_site_type_symbol
_atom_site_fract_x
_atom_site_fract_y
_atom_site_fract_z
Rb1 Rb 0.0000 0.0000 0.0000
H1 H 0.0000 0.0000 0.3585
Au1 Au 0.0000 0.0000 0.5616
```

Values from the calculation:
The value obtained for the total magnetization is 0.5 μB/cell. The total energy is -0.0879 hartree per atom.

***

OsWBr2: optimized geometry, GGA-PBE.

Geometry as CIF:
```
data_OsWBr2
_space_group_name_H-M_alt 'P 1 2/m 1'
_space_group_IT_number 10
_cell_length_a 3.2946
_cell_length_b 4.6045
_cell_length_c 4.8055
_cell_angle_alpha 90.00
_cell_angle_beta 90.60
_cell_angle_gamma 90.00
loop_
_space_group_symop_operation_xyz
'x,y,z'
'-x,-y,-z'
'-x,y,-z'
'x,-y,z'
loop_
_atom_site_label
_atom_site_type_symbol
_atom_site_fract_x
_atom_site_fract_y
_atom_site_fract_z
Os1 Os 0.0000 0.0000 0.0000
W1 W 0.5000 0.0000 0.5000
Br1 Br 0.2602 0.5000 0.2502
```

Values from the calculation:
The uncorrected formation energy comes out at 1438.5 meV per atom. The value obtained for the total magnetization is 0.0 μB/cell. The total energy is -0.2001 hartree per atom.

***

AcLa2PmSe4: optimized geometry, GGA-PBE.

Geometry as CIF:
```
data_AcLa2PmSe4
_space_group_name_H-M_alt 'P 1 2/m 1'
_space_group_IT_number 10
_cell_length_a 7.4941
_cell_length_b 4.3029
_cell_length_c 7.5221
_cell_angle_alpha 90.00
_cell_angle_beta 109.25
_cell_angle_gamma 90.00
loop_
_space_group_symop_operation_xyz
'x,y,z'
'-x,-y,-z'
'-x,y,-z'
'x,-y,z'
loop_
_atom_site_label
_atom_site_type_symbol
_atom_site_fract_x
_atom_site_fract_y
_atom_site_fract_z
Ac1 Ac 0.0000 0.0000 0.0000
La1 La 0.5000 0.0000 0.5000
La2 La 0.5000 0.5000 0.0000
Pm1 Pm 0.0000 0.5000 0.5000
Se1 Se 0.2477 0.0000 0.7412
Se2 Se 0.2538 0.5000 0.2597
```

Values from the calculation:
The uncorrected formation energy comes out at -1915.7 meV per atom. The value obtained for the total magnetization is 0.0 μB/cell. The total energy is -0.2204 hartree per atom.

***

CdIn2Se4: optimized geometry, GGA-PBE.

Geometry as CIF:
```
data_CdIn2Se4
_space_group_name_H-M_alt 'P -4 2 m'
_space_group_IT_number 111
_cell_length_a 5.8903
_cell_length_b 5.8903
_cell_length_c 6.0801
_cell_angle_alpha 90.00
_cell_angle_beta 90.00
_cell_angle_gamma 90.00
loop_
_space_group_symop_operation_xyz
'x,y,z'
'y,-x,-z'
'-x,-y,z'
'-y,x,-z'
'x,-y,-z'
'y,x,z'
'-x,y,-z'
'-y,-x,z'
loop_
_atom_site_label
_atom_site_type_symbol
_atom_site_fract_x
_atom_site_fract_y
_atom_site_fract_z
Cd1 Cd 0.0000 0.0000 0.0000
In1 In 0.0000 0.5000 0.5000
Se1 Se 0.2733 0.2733 0.7654
```

Values from the calculation:
The uncorrected formation energy comes out at -577.4 meV per atom. The value obtained for the total magnetization is 0.0 μB/cell. The total energy is -0.1280 hartree per atom.

***

ErInHg2: optimized geometry, GGA-PBE.

Geometry as CIF:
```
data_ErInHg2
_space_group_name_H-M_alt 'P 4/m m m'
_space_group_IT_number 123
_space_group_name_Hall '-P 4 2'
_cell_length_a 4.6157
_cell_length_b 4.6157
_cell_length_c 4.5041
_cell_angle_alpha 90.00
_cell_angle_beta 90.00
_cell_angle_gamma 90.00
loop_
_atom_site_label
_atom_site_type_symbol
_atom_site_fract_x
_atom_site_fract_y
_atom_site_fract_z
Er1 Er 0.0000 0.0000 0.0000
In1 In 0.5000 0.5000 0.0000
Hg1 Hg 0.0000 0.5000 0.5000
```

Values from the calculation:
The value obtained for the total magnetization is 0.0 μB/cell. For the energy of formation, the calculation gives -0.32 eV/atom. The total energy is -0.0844 hartree per atom.

***

Tm6PuSc8: optimized geometry, GGA-PBE.

Geometry as CIF:
```
data_Tm6PuSc8
_space_group_name_H-M_alt 'P -3'
_space_group_IT_number 147
_cell_length_a 9.1956
_cell_length_b 9.1956
_cell_length_c 5.4563
_cell_angle_alpha 90.00
_cell_angle_beta 90.00
_cell_angle_gamma 120.00
loop_
_space_group_symop_operation_xyz
'x,y,z'
'-x,-y,-z'
'-y,x-y,z'
'y,-x+y,-z'
'-x+y,-x,z'
'x-y,x,-z'
loop_
_atom_site_label
_atom_site_type_symbol
_atom_site_fract_x
_atom_site_fract_y
_atom_site_fract_z
Tm1 Tm 0.0941 0.4685 0.2549
Pu1 Pu 0.0000 0.0000 0.5000
Sc1 Sc 0.0541 0.2624 0.7663
Sc2 Sc 0.3333 0.6667 0.7640
```

Values from the calculation:
The value obtained for the total magnetization is 5.1 μB/cell. For the energy of formation, the calculation gives 0.13 eV/atom. The total energy is -0.2202 hartree per atom.

***

Tm3Co5H12: optimized geometry, GGA-PBE.

Geometry as CIF:
```
data_Tm3Co5H12
_space_group_name_H-M_alt 'I a -3 d'
_space_group_IT_number 230
_space_group_name_Hall '-I 4bd 2c 3'
_cell_length_a 10.9990
_cell_length_b 10.9990
_cell_length_c 10.9990
_cell_angle_alpha 90.00
_cell_angle_beta 90.00
_cell_angle_gamma 90.00
loop_
_atom_site_label
_atom_site_type_symbol
_atom_site_fract_x
_atom_site_fract_y
_atom_site_fract_z
Tm1 Tm 0.0000 0.2500 0.1250
Co1 Co 0.0000 0.0000 0.0000
Co2 Co 0.0000 0.2500 0.3750
H1 H 0.0342 0.0507 0.6414
```

Values from the calculation:
The value obtained for the total magnetization is 0.0 μB/cell. The total energy is -0.1730 hartree per atom.

***

TiGa5Rh6: optimized geometry, GGA-PBE.

Geometry as CIF:
```
data_TiGa5Rh6
_space_group_name_H-M_alt 'I m m m'
_space_group_IT_number 71
_space_group_name_Hall '-I 2 2'
_cell_length_a 4.2506
_cell_length_b 6.2854
_cell_length_c 12.6860
_cell_angle_alpha 90.00
_cell_angle_beta 90.00
_cell_angle_gamma 90.00
loop_
_atom_site_label
_atom_site_type_symbol
_atom_site_fract_x
_atom_site_fract_y
_atom_site_fract_z
Ti1 Ti 0.0000 0.0000 0.0000
Ga1 Ga 0.0000 0.0000 0.3317
Ga2 Ga 0.0000 0.5000 0.0000
Ga3 Ga 0.0000 0.5000 0.3385
Rh1 Rh 0.0000 0.2438 0.5000
Rh2 Rh 0.0000 0.2514 0.1678
```

Values from the calculation:
The value obtained for the total magnetization is 0.0 μB/cell. For the energy of formation, the calculation gives -0.75 eV/atom. The total energy is -0.2331 hartree per atom.

***

GaSn2OF: optimized geometry, GGA-PBE.

Geometry as CIF:
```
data_GaSn2OF
_space_group_name_H-M_alt 'P 4/m m m'
_space_group_IT_number 123
_space_group_name_Hall '-P 4 2'
_cell_length_a 4.6333
_cell_length_b 4.6333
_cell_length_c 4.7389
_cell_angle_alpha 90.00
_cell_angle_beta 90.00
_cell_angle_gamma 90.00
loop_
_atom_site_label
_atom_site_type_symbol
_atom_site_fract_x
_atom_site_fract_y
_atom_site_fract_z
Ga1 Ga 0.0000 0.0000 0.0000
Sn1 Sn 0.0000 0.5000 0.5000
O1 O 0.5000 0.5000 0.0000
F1 F 0.5000 0.5000 0.5000
```

Values from the calculation:
The uncorrected formation energy comes out at -120.7 meV per atom. The value obtained for the total magnetization is 0.0 μB/cell. The total energy is -0.1357 hartree per atom.